Record 1
Below is an optimized crystal structure of MgTaPbO6, with properties calculated at the PBE level.

ΔE_f (raw) (meV per atom): -1781.5
Crystal system: trigonal
Raw total energy (eV/cell): -125.88

Cell lengths 5.454, 5.454, 8.948 Å; angles 90.00, 90.00, 120.00 degrees
Sites, in units of the cell vectors:
Mg 0.000 0.000 0.000
Mg 0.000 0.000 0.500
Ta 0.333 0.667 0.250
Ta 0.667 0.333 0.750
Pb 0.333 0.667 0.750
Pb 0.667 0.333 0.250
O 0.030 0.353 0.127
O 0.030 0.676 0.373
O 0.324 0.353 0.373
O 0.324 0.970 0.127
O 0.353 0.030 0.627
O 0.353 0.324 0.873
O 0.647 0.676 0.127
O 0.647 0.970 0.373
O 0.676 0.030 0.873
O 0.676 0.647 0.627
O 0.970 0.324 0.627
O 0.970 0.647 0.873

Record 2
Below is an optimized crystal structure of Dy5Cu6, with properties calculated at the PBE level.

Crystal system: monoclinic
E_form (meV/atom): -85
Raw total energy (eV/cell): -48.52

Cell lengths 8.344, 8.344, 4.800 Å; angles 106.68, 106.68, 118.47 degrees
Sites, in units of the cell vectors:
Dy 0.000 0.000 0.000
Dy 0.177 0.823 0.500
Dy 0.360 0.640 0.000
Dy 0.640 0.360 0.000
Dy 0.823 0.177 0.500
Cu 0.036 0.400 0.218
Cu 0.202 0.202 0.701
Cu 0.400 0.036 0.218
Cu 0.600 0.964 0.782
Cu 0.798 0.798 0.299
Cu 0.964 0.600 0.782

Record 3
Below is an optimized crystal structure of TbNd4Sn4, with properties calculated at the PBE level.

Crystal system: tetragonal
E_form (meV/atom): -484
Raw total energy (eV/cell): -88.15

Cell lengths 9.556, 9.556, 6.462 Å; angles 90.00, 90.00, 90.00 degrees
Sites, in units of the cell vectors:
Tb 0.250 0.250 0.250
Tb 0.750 0.750 0.750
Nd 0.038 0.668 0.117
Nd 0.168 0.962 0.617
Nd 0.332 0.538 0.617
Nd 0.462 0.832 0.117
Nd 0.538 0.168 0.883
Nd 0.668 0.462 0.383
Nd 0.832 0.038 0.383
Nd 0.962 0.332 0.883
Sn 0.023 0.642 0.610
Sn 0.142 0.977 0.110
Sn 0.358 0.523 0.110
Sn 0.477 0.858 0.610
Sn 0.523 0.142 0.390
Sn 0.642 0.477 0.890
Sn 0.858 0.023 0.890
Sn 0.977 0.358 0.390

Record 4
Below is an optimized crystal structure of Dy2AgOs, with properties calculated at the PBE level.

Crystal system: tetragonal
Relative energy among the computed polymorphs (eV per atom): 0.000
E_form (meV/atom): -318
Raw total energy (eV/cell): -24.56

Cell lengths 3.407, 3.407, 7.601 Å; angles 90.00, 90.00, 90.00 degrees
Sites, in units of the cell vectors:
Dy 0.000 0.000 0.220
Dy 0.000 0.000 0.780
Ag 0.500 0.500 0.500
Os 0.500 0.500 0.000

What is the formula in the third record? TbNd4Sn4

Number 1 is which compound? MgTaPbO6